Computed, not measured: a geometry-optimized DyAlTlTe3 structure at the PBE-GGA level of DFT.

Output
- formation energy without anion corrections (eV/atom) = -0.70
- M_tot (Bohr magnetons per cell) = 0.00
- crystal system = monoclinic
- ρ (Mg/m³) = 6.276

Unit cell a=9.2560 b=4.5604 c=10.4216 alpha=90.00 beta=110.90 gamma=90.00
Fractional coordinates of all 12 atoms:
Dy1 0.1772 0.2500 0.1379
Dy2 0.8228 0.7500 0.8621
Al1 0.3960 0.7500 0.3787
Al2 0.6040 0.2500 0.6213
Tl1 0.2881 0.7500 0.7620
Tl2 0.7119 0.2500 0.2380
Te1 0.0314 0.2500 0.8263
Te2 0.2951 0.2500 0.4713
Te3 0.4061 0.7500 0.1209
Te4 0.5939 0.2500 0.8791
Te5 0.7049 0.7500 0.5287
Te6 0.9686 0.7500 0.1737

Computed, not measured: a geometry-optimized Y2FeReH structure at the PBE-GGA level of DFT.

Output
- M_tot (Bohr magnetons per cell) = 2.17
- final energy (eV per atom) = -7.3182
- crystal system = tetragonal
- ρ (Mg/m³) = 8.406

Unit cell a=4.8599 b=4.8599 c=3.5201 alpha=90.00 beta=90.00 gamma=90.00
Fractional coordinates of all 5 atoms:
Y1 0.0000 0.5000 0.0000
Y2 0.5000 0.0000 0.0000
Fe1 0.0000 0.0000 0.5000
Re1 0.5000 0.5000 0.5000
H1 0.0000 0.0000 0.0000

Computed, not measured: a geometry-optimized LiMg3Ti structure at the PBE-GGA level of DFT.

Output
- formation energy (meV/atom) = 840
- M_tot (Bohr magnetons per cell) = 3.36
- crystal system = cubic
- ρ (Mg/m³) = 1.304

Unit cell a=5.4582 b=5.4582 c=5.4582 alpha=90.00 beta=90.00 gamma=90.00
Fractional coordinates of all 5 atoms:
Li1 0.0000 0.0000 0.0000
Mg1 0.0000 0.5000 0.5000
Mg2 0.5000 0.0000 0.5000
Mg3 0.5000 0.5000 0.0000
Ti1 0.5000 0.5000 0.5000